# 1
4
Lattice="0.0000 3.1224 3.1224 3.1224 0.0000 3.1224 3.1224 3.1224 0.0000" Properties=species:S:1:pos:R:3 comment="FeGeWAu PBE relaxed" mass_density_g_cm3=13.890 magmom_total_mub_per_fu=1.74 polymorph_energy_ev_per_atom=0.000 pbc="T T T"
Ge 0.0000 0.0000 0.0000
Au 3.1224 3.1224 3.1224
Fe 4.6836 4.6836 4.6836
W 1.5612 1.5612 1.5612


# 2
4
Lattice="0.0000 3.1509 3.1509 3.1509 0.0000 3.1509 3.1509 3.1509 0.0000" Properties=species:S:1:pos:R:3 comment="FeGeWAu PBE relaxed" mass_density_g_cm3=13.517 magmom_total_mub_per_fu=0.74 polymorph_energy_ev_per_atom=0.204 pbc="T T T"
Au 1.5755 1.5755 1.5755
Ge 0.0000 0.0000 0.0000
Fe 4.7263 4.7263 4.7263
W 3.1509 3.1509 3.1509


# 3
4
Lattice="-0.0837 -4.7329 -0.4184 -2.6637 -2.5998 2.9544 -3.9058 -2.1741 -1.6127" Properties=species:S:1:pos:R:3 comment="YFeGeAu PBE relaxed" mass_density_g_cm3=9.067 magmom_total_mub_per_fu=2.70 polymorph_energy_ev_per_atom=0.000 pbc="T T T"
Fe -4.9899 -7.1301 0.6925
Au -3.3266 -4.7534 0.4616
Ge 0.0000 0.0000 0.0000
Y -1.6633 -2.3767 0.2308


# 4
4
Lattice="0.0000 3.3383 3.3383 3.3383 0.0000 3.3383 3.3383 3.3383 0.0000" Properties=species:S:1:pos:R:3 comment="YFeGeAu PBE relaxed" mass_density_g_cm3=9.247 magmom_total_mub_per_fu=2.25 polymorph_energy_ev_per_atom=0.134 pbc="T T T"
Ge 0.0000 0.0000 0.0000
Fe 5.0075 5.0075 5.0075
Y 3.3383 3.3383 3.3383
Au 1.6692 1.6692 1.6692